# 1
BaH2O2: optimized geometry, PBEsol.

Summary:
E	-563.776	eV for the cell shown

a = 10.635 Å, b = 16.397 Å, c = 6.971 Å
α = 90.00°, β = 90.00°, γ = 90.00°
Space group Pnma (No. 62)
One atom of each set of equivalent atoms:
Ba 0.033 0.124 0.084
Ba 0.163 0.016 0.577
Ba 0.196 0.250 0.570
H 0.059 0.750 0.264
H 0.061 0.646 0.454
H 0.115 0.573 0.249
H 0.156 0.750 0.602
H 0.222 0.657 0.743
H 0.244 0.668 0.434
O 0.013 0.143 0.463
O 0.041 0.750 0.126
O 0.062 0.526 0.204
O 0.217 0.612 0.838
O 0.246 0.120 0.846
O 0.249 0.750 0.605


# 2
Li2BeOs: optimized geometry, PBEsol.

Summary:
DFT formation energy	0.19	eV per atom

a = 3.020 Å, b = 3.020 Å, c = 5.466 Å
α = 90.00°, β = 90.00°, γ = 90.00°
Space group P4mm (No. 99)
One atom of each set of equivalent atoms:
Li 0.000 0.000 0.000
Li 0.500 0.500 0.272
Be 0.500 0.500 0.685
Os 0.000 0.000 0.541


# 3
Al2Zn3S6: optimized geometry, PBEsol.

Summary:
E_form (uncorrected)	-913.8	meV/atom

a = 6.5032 Å, b = 6.5032 Å, c = 18.2105 Å
α = 90.00°, β = 90.00°, γ = 120.00°
Space group R3 (No. 146, hexagonal axes)
One atom of each set of equivalent atoms:
Al 0.0000 0.0000 0.0000
Al 0.0000 0.0000 0.3363
Zn 0.0046 0.3162 0.8353
S 0.0000 0.0000 0.1256
S 0.0000 0.0000 0.4620
S 0.0000 0.0000 0.7837
S 0.0052 0.3349 0.9630


# 4
LaRhO3: optimized geometry, PBEsol.

Summary:
E_form (uncorrected)	-2183.2	meV/atom

a = 5.776 Å, b = 7.826 Å, c = 5.418 Å
α = 90.00°, β = 90.00°, γ = 90.00°
Space group Pnma (No. 62)
One atom of each set of equivalent atoms:
La 0.069 0.250 0.020
Rh 0.000 0.000 0.500
O 0.025 0.750 0.400
O 0.199 0.550 0.810


# 5
LaCdTe2: optimized geometry, PBEsol.

Summary:
E_form (uncorrected)	-871.4	meV/atom

a = 4.017 Å, b = 4.017 Å, c = 6.970 Å
α = 90.00°, β = 90.00°, γ = 90.00°
Space group P4/mmm (No. 123)
One atom of each set of equivalent atoms:
La 0.000 0.000 0.000
Cd 0.000 0.000 0.500
Te 0.500 0.500 0.242


# 6
LiMn2OsC: optimized geometry, PBEsol.

Summary:
DFT formation energy	0.26	eV per atom

a = 3.828 Å, b = 3.828 Å, c = 3.955 Å
α = 90.00°, β = 90.00°, γ = 90.00°
Space group P4/mmm (No. 123)
One atom of each set of equivalent atoms:
Li 0.000 0.000 0.000
Mn 0.000 0.500 0.500
Os 0.500 0.500 0.000
C 0.500 0.500 0.500


# 7
BaMn2: optimized geometry, PBEsol.

Summary:
DFT formation energy	0.83	eV per atom

a = 4.960 Å, b = 4.960 Å, c = 11.005 Å
α = 90.00°, β = 90.00°, γ = 90.00°
Space group I4/mcm (No. 140)
One atom of each set of equivalent atoms:
Ba 0.000 0.000 0.250
Mn 0.175 0.325 0.000


# 8
CrBiSN2: optimized geometry, PBEsol.

Summary:
E_form (uncorrected)	322.8	meV/atom

a = 3.813 Å, b = 3.813 Å, c = 4.694 Å
α = 90.00°, β = 90.00°, γ = 90.00°
Space group P4/mmm (No. 123)
One atom of each set of equivalent atoms:
Cr 0.000 0.000 0.000
Bi 0.500 0.500 0.500
S 0.000 0.000 0.500
N 0.000 0.500 0.000


# 9
CeNbO4: optimized geometry, PBEsol.

Summary:
E_form (uncorrected)	-2973.2	meV/atom

a = 5.313 Å, b = 5.313 Å, c = 11.185 Å
α = 90.00°, β = 90.00°, γ = 90.00°
Space group I4_1/a (No. 88, origin choice 2)
One atom of each set of equivalent atoms:
Ce 0.000 0.250 0.125
Nb 0.000 0.250 0.625
O 0.179 0.496 0.715


# 10
MgZn2Cl: optimized geometry, PBEsol.

Summary:
E above lowest polymorph	0.00	kcal/mol of atoms
E_form (uncorrected)	-360.7	meV/atom

a = 3.169 Å, b = 3.367 Å, c = 7.554 Å
α = 90.00°, β = 91.45°, γ = 90.00°
Space group Pm (No. 6)
One atom of each set of equivalent atoms:
Mg 0.000 0.000 0.000
Zn 0.474 0.000 0.710
Zn 0.966 0.500 0.563
Cl 0.894 0.500 0.226


# 11
Tl2ReHg: optimized geometry, PBEsol.

Summary:
E above lowest polymorph	0.00	kcal/mol of atoms
DFT formation energy	0.71	eV per atom

a = 2.9838 Å, b = 2.9838 Å, c = 34.0001 Å
α = 90.00°, β = 90.00°, γ = 120.00°
Space group R-3m (No. 166, hexagonal axes)
One atom of each set of equivalent atoms:
Tl 0.0000 0.0000 0.2404
Re 0.0000 0.0000 0.5000
Hg 0.0000 0.0000 0.0000


# 12
HoF3: optimized geometry, PBEsol.

Summary:
E_form (uncorrected)	-4207.7	meV/atom

a = 6.291 Å, b = 6.778 Å, c = 4.324 Å
α = 90.00°, β = 90.00°, γ = 90.00°
Space group Pnma (No. 62)
One atom of each set of equivalent atoms:
Ho 0.131 0.250 0.064
F 0.022 0.750 0.412
F 0.165 0.563 0.879


# 13
Ca3InAg: optimized geometry, PBEsol.

Summary:
DFT formation energy	0.19	eV per atom

a = 5.849 Å, b = 5.849 Å, c = 5.849 Å
α = 90.00°, β = 90.00°, γ = 90.00°
Space group Pm-3m (No. 221)
One atom of each set of equivalent atoms:
Ca 0.000 0.000 0.500
In 0.000 0.000 0.000
Ag 0.500 0.500 0.500


# 14
AlReAu: optimized geometry, PBEsol.

Summary:
E above lowest polymorph	0.00	kcal/mol of atoms
DFT formation energy	0.14	eV per atom

a = 3.236 Å, b = 4.378 Å, c = 12.886 Å
α = 90.00°, β = 90.00°, γ = 90.00°
Space group Fmm2 (No. 42)
One atom of each set of equivalent atoms:
Al 0.000 0.000 0.000
Re 0.000 0.000 0.347
Au 0.000 0.000 0.661


# 15
YMg2Si2: optimized geometry, PBEsol.

Summary:
E_form (uncorrected)	-400.2	meV/atom

a = 4.132 Å, b = 4.132 Å, c = 11.536 Å
α = 90.00°, β = 90.00°, γ = 90.00°
Space group I4/mmm (No. 139)
One atom of each set of equivalent atoms:
Y 0.000 0.000 0.000
Mg 0.000 0.500 0.250
Si 0.000 0.000 0.399


# 16
TaHg4As: optimized geometry, PBEsol.

Summary:
DFT formation energy	0.75	eV per atom

a = 7.963 Å, b = 7.963 Å, c = 7.963 Å
α = 90.00°, β = 90.00°, γ = 90.00°
Space group F-43m (No. 216)
One atom of each set of equivalent atoms:
Ta 0.000 0.000 0.000
Hg 0.125 0.125 0.375
As 0.250 0.250 0.750


# 17
Ce2Ga3Cu: optimized geometry, PBEsol.

Summary:
DFT formation energy	-0.46	eV per atom

a = 4.4167 Å, b = 4.4167 Å, c = 7.0042 Å
α = 90.00°, β = 90.00°, γ = 120.00°
Space group P3m1 (No. 156)
One atom of each set of equivalent atoms:
Ce 0.0000 0.0000 0.0000
Ce 0.0000 0.0000 0.4709
Ga 0.3333 0.6667 0.7700
Ga 0.6667 0.3333 0.2399
Ga 0.6667 0.3333 0.7153
Cu 0.3333 0.6667 0.2064


# 18
Li2ZnTc: optimized geometry, PBEsol.

Summary:
DFT formation energy	0.09	eV per atom

a = 3.271 Å, b = 3.934 Å, c = 8.962 Å
α = 90.00°, β = 90.00°, γ = 90.00°
Space group Cmm2 (No. 35)
One atom of each set of equivalent atoms:
Li 0.000 0.000 0.000
Li 0.000 0.500 0.288
Zn 0.000 0.500 0.767
Tc 0.000 0.000 0.531


# 19
PdRuRhI2: optimized geometry, PBEsol.

Summary:
E_form (uncorrected)	1550.0	meV/atom

a = 5.136 Å, b = 5.136 Å, c = 4.839 Å
α = 90.00°, β = 90.00°, γ = 90.00°
Space group P4/mmm (No. 123)
One atom of each set of equivalent atoms:
Pd 0.000 0.000 0.000
Ru 0.500 0.500 0.500
Rh 0.000 0.000 0.500
I 0.000 0.500 0.000


# 20
LaAl2Se: optimized geometry, PBEsol.

Summary:
E above lowest polymorph	0.00	kcal/mol of atoms
E_form (uncorrected)	-559.7	meV/atom

a = 3.592 Å, b = 4.677 Å, c = 5.528 Å
α = 90.00°, β = 90.00°, γ = 90.00°
Space group Pmm2 (No. 25)
One atom of each set of equivalent atoms:
La 0.000 0.000 0.000
Al 0.500 0.000 0.514
Al 0.500 0.500 0.727
Se 0.500 0.500 0.195


| no. | volume (Å³/atom) | calculated density (g cm⁻³) |
| --- | --- | --- |
| 1 | 12.16 | 4.7 |
| 2 | 12.46 | 7.1 |
| 3 | 20.21 | 3.3 |
| 4 | 12.25 | 7.9 |
| 5 | 28.12 | 7.5 |
| 6 | 11.59 | 9.1 |
| 7 | 22.56 | 6.1 |
| 8 | 13.65 | 7.8 |
| 9 | 13.16 | 6.2 |
| 10 | 20.15 | 3.9 |
| 11 | 21.85 | 15.1 |
| 12 | 11.52 | 8.0 |
| 13 | 40.03 | 2.8 |
| 14 | 15.21 | 14.9 |
| 15 | 19.70 | 3.3 |
| 16 | 21.04 | 13.9 |
| 17 | 19.72 | 7.8 |
| 18 | 14.41 | 5.1 |
| 19 | 25.53 | 7.3 |
| 20 | 23.22 | 4.9 |